(1)
TcAgW | PBE | optimized geometry

The structure belongs to space group F-43m (No. 216); the cell edges are 6.1055, 6.1055 and 6.1055 Å and the angles 90.00°, 90.00° and 90.00°. The inequivalent atoms are Tc at (0.0000, 0.0000, 0.0000), Ag at (0.2500, 0.2500, 0.2500) and W at (0.2500, 0.2500, 0.7500).

The energy above the lowest structure with this stoichiometry is 708.3 meV/atom. The crystal system is cubic. The total DFT energy (no corrections) is -22.98 eV per formula unit. Its density of states at the Fermi level is 3.0 states/eV/f.u.



(2)
TmScTlAu | PBE | optimized geometry

The structure belongs to space group P4mm (No. 99); the cell edges are 3.5117, 3.5117 and 7.4412 Å and the angles 90.00°, 90.00° and 90.00°. The inequivalent atoms are Tm at (0.0000, 0.0000, 0.0000), Sc at (0.0000, 0.0000, 0.5422), Tl at (0.5000, 0.5000, 0.2839) and Au at (0.5000, 0.5000, 0.7575).

The energy above the lowest structure with this stoichiometry is 0.0 meV/atom. The crystal system is tetragonal. The total DFT energy (no corrections) is -18.73 eV per formula unit. Its density of states at the Fermi level is 2.8 states/eV/f.u.



Number 1: ΔH_f (0 K) 1065 meV/atom. Number 2: ΔH_f (0 K) -572 meV/atom.